## NaZr3Cr (PBE)

Data for a relaxed structure of NaZr3Cr.

DFT formation energy: 2.007 eV/atom
Space-group type: Pm-3m, No. 221

Cell and atoms, written as POSCAR:
```
NaZr3Cr
1.0
-0.1284 2.5301 -4.1943
-0.6285 -4.1695 -2.4959
-4.8578 0.4726 0.4337
Zr Cr Na
3 1 1
direct
0.0000 0.5000 0.0000 Zr
0.5000 0.0000 0.0000 Zr
0.0000 0.0000 0.5000 Zr
0.5000 0.5000 0.5000 Cr
0.0000 0.0000 0.0000 Na
```

## NaZrCr2 (PBE)

Data for a relaxed structure of NaZrCr2.

DFT formation energy: 0.896 eV/atom
Space-group type: Fm-3m, No. 225

Cell and atoms, written as POSCAR:
```
NaZrCr2
1.0
4.0495 -1.7508 1.7912
0.4482 -4.6825 0.7385
2.9039 -2.5776 -2.7559
Cr Na Zr
2 1 1
direct
0.7500 0.7500 0.7500 Cr
0.2500 0.2500 0.2500 Cr
0.0000 0.0000 0.0000 Na
0.5000 0.5000 0.5000 Zr
```

## NaZr2Cr (PBE)

Data for a relaxed structure of NaZr2Cr.

DFT formation energy: 0.581 eV/atom
Space-group type: Fm-3m, No. 225

Cell and atoms, written as POSCAR:
```
NaZr2Cr
1.0
0.5175 -4.7455 -0.8459
-0.4510 -3.1739 3.6369
-3.8563 -2.9316 0.1947
Cr Zr Na
1 2 1
direct
0.5000 0.5000 0.5000 Cr
0.7500 0.7500 0.7500 Zr
0.2500 0.2500 0.2500 Zr
0.0000 0.0000 0.0000 Na
```

## NaZr2Cr (PBE)

Data for a relaxed structure of NaZr2Cr.

DFT formation energy: 1.289 eV/atom
Space-group type: I4_1/amd, No. 141

Cell and atoms, written as POSCAR:
```
NaZr2Cr
1.0
-1.3649 2.6694 -6.7723
-6.8314 1.9100 2.1297
-2.3148 6.9990 -0.8245
Zr Cr Na
4 2 2
direct
0.8747 0.6250 0.2500 Zr
0.8753 0.1250 0.2500 Zr
0.3750 0.1247 0.7500 Zr
0.8750 0.1253 0.7500 Zr
0.0000 0.0000 0.0000 Cr
0.7500 0.2500 0.5000 Cr
0.2500 0.7500 0.5000 Na
0.5000 0.5000 0.0000 Na
```

## Nb2Cr3 (PBE)

Data for a relaxed structure of Nb2Cr3.

DFT formation energy: 0.209 eV/atom
Space-group type: Cmce, No. 64

Cell and atoms, written as POSCAR:
```
Nb2Cr3
1.0
-3.0808 3.2698 2.5183
-3.3999 -1.8311 3.4078
4.4281 0.5443 4.7104
Nb Cr
4 6
direct
0.6691 0.6691 0.9013 Nb
0.1691 0.1691 0.5987 Nb
0.8309 0.8309 0.4013 Nb
0.3309 0.3309 0.0987 Nb
0.8389 0.3389 0.2500 Cr
0.0000 0.0000 0.0000 Cr
0.1611 0.6611 0.7500 Cr
0.3389 0.8389 0.2500 Cr
0.5000 0.5000 0.5000 Cr
0.6611 0.1611 0.7500 Cr
```

## NbCr4 (PBE)

Data for a relaxed structure of NbCr4.

DFT formation energy: 1.804 eV/atom
Space-group type: Pm-3m, No. 221

Cell and atoms, written as POSCAR:
```
NbCr4
1.0
-2.8466 -3.7118 -0.4815
3.0955 -1.9946 -2.9244
2.1041 -2.0872 3.6508
Cr Nb
4 1
direct
0.5000 0.5000 0.0000 Cr
0.5000 0.0000 0.5000 Cr
0.0000 0.5000 0.5000 Cr
0.0000 0.0000 0.0000 Cr
0.5000 0.5000 0.5000 Nb
```